Record 1
Computed, not measured: crystalline LiTl2GeCl5 at its relaxed geometry at the PBE-GGA level of DFT.

a b c (Å): 4.097 9.424 13.660
angles (deg): 90.00 90.00 102.56
Fractional coordinates of all 18 atoms:
Li1 0.559 0.117 0.947
Li2 0.441 0.883 0.447
Tl1 0.868 0.737 0.805
Tl2 0.090 0.180 0.672
Tl3 0.132 0.263 0.305
Tl4 0.910 0.820 0.172
Ge1 0.788 0.577 0.524
Ge2 0.212 0.423 0.024
Cl1 0.344 0.687 0.994
Cl2 0.688 0.375 0.895
Cl3 0.498 0.996 0.794
Cl4 0.277 0.554 0.656
Cl5 0.951 0.903 0.537
Cl6 0.656 0.313 0.494
Cl7 0.312 0.625 0.395
Cl8 0.502 0.004 0.294
Cl9 0.723 0.446 0.156
Cl10 0.049 0.097 0.037

## Properties
DOS(E_F)	0.00	states/eV per cell
formation energy (no corrections)	-1120	meV per atom
DFT total energy	-0.125	Ha/atom

Record 2
Computed, not measured: crystalline RbGa2Sn2Au6 at its relaxed geometry at the PBE-GGA level of DFT.

a b c (Å): 12.292 12.280 6.468
angles (deg): 135.04 126.72 22.48
Fractional coordinates of all 11 atoms:
Rb1 0.500 0.000 0.500
Ga1 0.841 0.975 0.078
Ga2 0.159 0.025 0.922
Sn1 0.251 0.499 0.430
Sn2 0.749 0.501 0.570
Au1 0.297 0.830 0.203
Au2 0.199 0.209 0.947
Au3 0.703 0.363 0.695
Au4 0.801 0.791 0.053
Au5 0.297 0.637 0.305
Au6 0.703 0.170 0.797

## Properties
DOS(E_F)	4.04	states/eV per cell
DFT total energy	-0.123	Ha/atom
DFT formation energy	-196	meV/atom